VASP calculation (PBEsol) on TlGeF3 after structural relaxation.

Calculated values
**E_tot**: -46.7 eV per cell
**Density of states at the Fermi level**: 0.0 states/eV per cell
**Distance to the lowest polymorph of the same formula**: 0.0 meV/atom
**Formation energy without anion corrections**: -1998 meV per atom

a = 4.7495 Å, b = 5.8081 Å, c = 7.0577 Å
α = 90.00°, β = 104.82°, γ = 90.00°
Space group P2_1/m (No. 11)
Inequivalent atoms, fractional coordinates:
Tl 0.1683 0.2500 0.3043 [2 per cell]
Ge 0.4253 0.2500 0.8644 [2 per cell]
F 0.1938 0.7500 0.1593 [2 per cell]
F 0.3151 0.0242 0.6722 [4 per cell]